No. 1
An optimized crystal structure of CeScPt, computed with GGA-PBE.

a = 4.567 Å, b = 4.567 Å, c = 3.947 Å
α = 90.00°, β = 90.00°, γ = 120.00°
Fractional coordinates of all 3 atoms:
Ce1 0.000 0.000 0.000
Sc1 0.667 0.333 0.479
Pt1 0.333 0.667 0.619

As for the density of states at the Fermi level: 2.378 states/eV/atom. The space group is P3m1 (156). For the energy above the lowest structure with this stoichiometry, the calculation gives 0.206 eV per atom. The crystal system is trigonal. The calculation puts the magnetic moment at 0.85 μB per cell.

***

No. 2
An optimized crystal structure of Ba2CrNiIr, computed with GGA-PBE.

a = 6.103 Å, b = 6.103 Å, c = 4.680 Å
α = 90.00°, β = 90.00°, γ = 90.00°
Fractional coordinates of all 5 atoms:
Ba1 0.000 0.500 0.000
Ba2 0.500 0.000 0.000
Cr1 0.000 0.000 0.500
Ni1 0.500 0.500 0.500
Ir1 0.000 0.000 0.000

The calculated total energy is -5.0219 eV/atom. As for the density of states at the Fermi level: 1.377 states/eV/atom. The space group is P4/mmm (123). The crystal system is tetragonal. The calculation puts the magnetic moment at 4.59 μB per cell.

***

No. 3
An optimized crystal structure of ReSi2Sb, computed with GGA-PBE.

a = 8.299 Å, b = 8.299 Å, c = 8.299 Å
α = 21.96°, β = 21.96°, γ = 21.96°
Fractional coordinates of all 4 atoms:
Re1 0.000 0.000 0.000
Si1 0.264 0.264 0.264
Si2 0.520 0.520 0.520
Sb1 0.754 0.754 0.754

As for the density of states at the Fermi level: 0.309 states/eV/atom. Its energy relative to the elements, uncorrected is 433 meV/atom. The space group is R3m (160). The crystal system is trigonal. The calculation puts the magnetic moment at 0.00 μB per cell.

***

No. 4
An optimized crystal structure of SrLi2CaCd, computed with GGA-PBE.

a = 8.120 Å, b = 8.120 Å, c = 8.120 Å
α = 150.77°, β = 142.49°, γ = 48.25°
Fractional coordinates of all 5 atoms:
Sr1 0.000 0.000 0.000
Li1 0.615 0.615 0.000
Li2 0.794 0.294 0.500
Ca1 0.255 0.755 0.500
Cd1 0.422 0.422 0.000

As for the density of states at the Fermi level: 0.649 states/eV/atom. The space group is Imm2 (44). For the energy above the lowest structure with this stoichiometry, the calculation gives 0.000 eV per atom. The crystal system is orthorhombic. The calculation puts the magnetic moment at 0.00 μB per cell.

***

No. 5
An optimized crystal structure of La4SmTl2, computed with GGA-PBE.

a = 6.765 Å, b = 5.505 Å, c = 6.860 Å
α = 90.00°, β = 118.37°, γ = 90.00°
Fractional coordinates of all 7 atoms:
La1 0.049 0.000 0.307
La2 0.209 0.500 0.861
La3 0.791 0.500 0.139
La4 0.951 0.000 0.693
Sm1 0.500 0.500 0.500
Tl1 0.481 0.000 0.209
Tl2 0.519 0.000 0.791

As for the density of states at the Fermi level: 0.893 states/eV/atom. The space group is P2/m (10). For the energy above the lowest structure with this stoichiometry, the calculation gives 0.000 eV per atom. The crystal system is monoclinic. The calculation puts the magnetic moment at 0.00 μB per cell.

***

No. 6
An optimized crystal structure of Cs2BI, computed with GGA-PBE.

a = 6.383 Å, b = 6.383 Å, c = 6.383 Å
α = 60.00°, β = 60.00°, γ = 60.00°
Fractional coordinates of all 4 atoms:
Cs1 0.250 0.250 0.250
Cs2 0.750 0.750 0.750
B1 0.000 0.000 0.000
I1 0.500 0.500 0.500

As for the density of states at the Fermi level: 2.992 states/eV/atom. Its energy relative to the elements, uncorrected is 358 meV/atom. The space group is Fm-3m (225). For the energy above the lowest structure with this stoichiometry, the calculation gives 0.000 eV per atom. The crystal system is cubic. The calculation puts the magnetic moment at 2.00 μB per cell.